A plane-wave DFT calculation with PBE was carried out for a relaxed structure of DyAlPt2.

Structure (CIF):
```
data_DyAlPt2
_chemical_formula_sum 'Dy4 Al4 Pt8'
_cell_length_a 7.241
_cell_length_b 7.092
_cell_length_c 5.742
_cell_angle_alpha 90.00
_cell_angle_beta 90.00
_cell_angle_gamma 90.00
_space_group_name_H-M_alt 'P n m a'
_space_group_IT_number 62
loop_
_space_group_symop_operation_xyz
'x,y,z'
'-x,-y,-z'
'-x+1/2,-y,z+1/2'
'x+1/2,y,-z+1/2'
'x+1/2,-y+1/2,-z+1/2'
'-x+1/2,y+1/2,z+1/2'
'-x,y+1/2,-z'
'x,-y+1/2,z'
loop_
_atom_site_label
_atom_site_type_symbol
_atom_site_fract_x
_atom_site_fract_y
_atom_site_fract_z
Dy1 Dy 0.026 0.250 0.150
Al1 Al 0.114 0.750 0.354
Pt1 Pt 0.186 0.051 0.584
```

* formation energy from the elements: -1177 meV/atom
* total magnetic moment: 0.0 μB per formula unit